{
  "formula": "Ce4Sb2PN2",
  "functional": "PBE-GGA",
  "state": "optimized geometry",
  "cell": [[4.050, 0.000, 0.000], [0.000, 7.403, 0.077], [-2.025, -2.850, 7.028]],
  "species": ["Sb", "Sb", "N", "N", "Ce", "Ce", "Ce", "Ce", "P"],
  "frac_coords": [[0.867, 0.463, 0.734], [0.133, 0.537, 0.266], [0.324, 0.017, 0.648], [0.676, 0.983, 0.352], [0.470, 0.239, 0.941], [0.789, 0.841, 0.578], [0.530, 0.761, 0.059], [0.211, 0.159, 0.422], [0.000, 0.000, 0.000]],
  "energy_ev_per_atom": -7.305,
  "dos_at_fermi_per_ev_atom": 1.14,
  "space_group": "No. 12"
}